Entry from Alexandria via LeMat-Bulk: a geometry-optimized SbAu structure (PBEsol).

Total DFT energy (no corrections) = -4.220 eV per atom
Raw formation energy = 21 meV per atom
SG = P-3m1
Total magnetic moment = 0.0 μB/f.u.

a b c (Å): 4.126 4.126 19.206
angles (deg): 90.00 90.00 120.00
Sites, in units of the cell vectors:
Sb 0.000 0.000 0.104
Sb 0.000 0.000 0.896
Sb 0.333 0.667 0.227
Sb 0.333 0.667 0.437
Sb 0.667 0.333 0.563
Sb 0.667 0.333 0.773
Au 0.000 0.000 0.295
Au 0.000 0.000 0.705
Au 0.333 0.667 0.632
Au 0.333 0.667 0.964
Au 0.667 0.333 0.036
Au 0.667 0.333 0.368